Record 1
VASP calculation (meta-GGA SCAN) on a crystal of MgPbF2 relaxed with PBEsol.

a b c (Å): 3.3367 3.3367 8.0161
angles (deg): 77.99 77.99 60.00
Fractional positions:
Pb1 0.5000 0.5000 0.5000
Mg1 0.0000 0.0000 0.0000
F1 0.9194 0.9194 0.2417
F2 0.0806 0.0806 0.7583

Computed properties:
symmetry	R-3m
total energy	-95.28	eV per cell
magnetic moment	0.000	μB/cell
D(E_F)	0.3	states/eV/cell

Record 2
VASP calculation (meta-GGA SCAN) on a crystal of Mg2PdF relaxed with PBEsol.

a b c (Å): 4.4477 4.4477 4.4477
angles (deg): 60.00 60.00 60.00
Fractional positions:
Mg1 0.2500 0.2500 0.2500
Mg2 0.7500 0.7500 0.7500
Pd1 0.5000 0.5000 0.5000
F1 0.0000 0.0000 0.0000

Computed properties:
symmetry	Fm-3m
magnetic moment	0.000	μB/cell
D(E_F)	1.8	states/eV/cell
distance to the lowest polymorph of the same formula	446	meV per atom

Record 3
VASP calculation (meta-GGA SCAN) on a crystal of MgPdF2 relaxed with PBEsol.

a b c (Å): 2.8703 2.8703 8.6950
angles (deg): 80.50 80.50 60.00
Last column: magnetic moment on the atom in μB.
Fractional positions:
Mg1 0.5000 0.5000 0.5000  0.00
Pd1 0.0000 0.0000 0.0000  0.36
F1 0.8730 0.8730 0.3809  0.00
F2 0.1270 0.1270 0.6191  0.00

Computed properties:
symmetry	R-3m
total energy	-54.04	eV per cell
magnetic moment	0.342	μB/cell
D(E_F)	3.3	states/eV/cell